## 1
ScCuCl2 after structural relaxation. Source: the Alexandria database, functional PBE.

Cell lengths 5.966, 5.966, 7.192 Å; angles 56.50, 56.50, 32.01 degrees
Fractional positions:
Sc (0.740, 0.740, 0.634)
Cu (0.458, 0.458, 0.512)
Cl (0.101, 0.101, 0.950)
Cl (0.201, 0.201, 0.404)

Magnetic moment = 0.00 Bohr magnetons per cell

## 2
ScCuCl2 after structural relaxation. Source: the Alexandria database, functional PBE.

Cell lengths 4.412, 4.412, 3.530 Å; angles 90.00, 90.00, 90.00 degrees
Fractional positions:
Sc (0.000, 0.500, 0.500)
Cu (0.500, 0.000, 0.500)
Cl (0.000, 0.000, 0.000)
Cl (0.500, 0.500, 0.000)

Magnetic moment = 0.00 Bohr magnetons per cell
Fermi-level density of states = 0.4203 states/eV per atom

Most stable: 1 (next structure +0.455 eV/atom)

## 1
ScCuCl2 after structural relaxation. Source: the Alexandria database, functional PBE.

Cell lengths 3.320, 3.320, 6.406 Å; angles 90.00, 90.00, 90.00 degrees
Fractional positions:
Sc (0.500, 0.500, 0.750)
Cu (0.500, 0.500, 0.250)
Cl (0.000, 0.000, 0.976)
Cl (0.000, 0.000, 0.524)

Magnetic moment = 0.00 Bohr magnetons per cell
Fermi-level density of states = 0.2951 states/eV per atom

## 2
ScCuCl2 after structural relaxation. Source: the Alexandria database, functional PBE.

Cell lengths 4.749, 4.749, 4.749 Å; angles 60.00, 60.00, 60.00 degrees
Fractional positions:
Sc (0.250, 0.250, 0.250)
Cu (0.500, 0.500, 0.500)
Cl (0.000, 0.000, 0.000)
Cl (0.750, 0.750, 0.750)

Magnetic moment = 0.00 Bohr magnetons per cell

## 3
ScCuCl2 after structural relaxation. Source: the Alexandria database, functional PBE.

Cell lengths 5.939, 5.939, 6.705 Å; angles 63.72, 63.72, 90.00 degrees
Each line ends with the local moment (μB).
Fractional positions:
Sc (0.500, 0.500, 0.000)  0.96
Sc (0.250, 0.750, 0.500)  0.96
Cu (0.000, 0.000, 0.000)  0.04
Cu (0.750, 0.250, 0.500)  0.04
Cl (0.664, 0.125, 0.250)  0.02
Cl (0.086, 0.625, 0.250)  0.01
Cl (0.375, 0.336, 0.750)  0.02
Cl (0.875, 0.914, 0.750)  0.01

Magnetic moment = 3.71 Bohr magnetons per cell
Fermi-level density of states = 0.4487 states/eV per atom

Most stable: 1 (next structure +0.144 eV/atom)

## 1
ScCuCl2 after structural relaxation. Source: the Alexandria database, functional PBE.

Cell lengths 7.065, 7.065, 7.065 Å; angles 154.18, 142.37, 46.20 degrees
Fractional positions:
Sc (0.763, 0.263, 0.500)
Cu (0.588, 0.588, 0.000)
Cl (0.916, 0.916, 0.000)
Cl (0.233, 0.733, 0.500)

Magnetic moment = 0.00 Bohr magnetons per cell
Fermi-level density of states = 0.4955 states/eV per atom

## 2
ScCuCl2 after structural relaxation. Source: the Alexandria database, functional PBE.

Cell lengths 4.641, 4.641, 4.641 Å; angles 60.00, 60.00, 60.00 degrees
Fractional positions:
Sc (0.000, 0.000, 0.000)
Cu (0.500, 0.500, 0.500)
Cl (0.250, 0.250, 0.250)
Cl (0.750, 0.750, 0.750)

Magnetic moment = 0.00 Bohr magnetons per cell
Fermi-level density of states = 0.1948 states/eV per atom

Most stable: 1 (next structure +0.228 eV/atom)

## 1
ScCu2Cl after structural relaxation. Source: the Alexandria database, functional PBE.

Cell lengths 3.660, 3.652, 5.195 Å; angles 90.00, 90.00, 90.00 degrees
Fractional positions:
Cl (0.500, 0.500, 0.750)
Cu (0.000, 0.000, 0.017)
Cu (0.000, 0.000, 0.483)
Sc (0.500, 0.500, 0.250)

Magnetic moment = 0.00 Bohr magnetons per cell
Fermi-level density of states = 0.9817 states/eV per atom

## 2
ScCu2Cl after structural relaxation. Source: the Alexandria database, functional PBE.

Cell lengths 4.974, 4.974, 3.363 Å; angles 90.00, 90.00, 120.93 degrees
Fractional positions:
Cl (0.000, 0.500, 0.500)
Cu (0.000, 0.000, 0.000)
Cu (0.500, 0.500, 0.000)
Sc (0.500, 0.000, 0.500)

Magnetic moment = 0.00 Bohr magnetons per cell
Fermi-level density of states = 0.2102 states/eV per atom

Most stable: 2 (next structure +0.100 eV/atom)

## 1
ScCu2Cl after structural relaxation. Source: the Alexandria database, functional PBE.

Cell lengths 7.764, 7.764, 7.764 Å; angles 24.96, 24.96, 24.96 degrees
Fractional positions:
Cl (0.750, 0.750, 0.750)
Cu (0.003, 0.003, 0.003)
Cu (0.497, 0.497, 0.497)
Sc (0.250, 0.250, 0.250)

Magnetic moment = 0.00 Bohr magnetons per cell
Fermi-level density of states = 0.0136 states/eV per atom

## 2
ScCu2Cl after structural relaxation. Source: the Alexandria database, functional PBE.

Cell lengths 4.533, 4.533, 4.533 Å; angles 120.19, 120.19, 89.68 degrees
Fractional positions:
Cl (0.750, 0.250, 0.500)
Cu (0.000, 0.000, 0.000)
Cu (0.250, 0.750, 0.500)
Sc (0.500, 0.500, 0.000)

Magnetic moment = 0.00 Bohr magnetons per cell
Fermi-level density of states = 0.3837 states/eV per atom

## 3
ScCu2Cl after structural relaxation. Source: the Alexandria database, functional PBE.

Cell lengths 4.630, 4.630, 4.630 Å; angles 60.00, 60.00, 60.00 degrees
Fractional positions:
Sc (0.500, 0.500, 0.500)
Cu (0.250, 0.250, 0.250)
Cu (0.750, 0.750, 0.750)
Cl (0.000, 0.000, 0.000)

Magnetic moment = 0.00 Bohr magnetons per cell
Fermi-level density of states = 0.4522 states/eV per atom

Most stable: 2 (next structure +0.013 eV/atom)

## 1
ScCu3Cl after structural relaxation. Source: the Alexandria database, functional PBE.

Cell lengths 4.520, 4.520, 4.520 Å; angles 90.00, 90.00, 90.00 degrees
Fractional positions:
Sc (0.500, 0.500, 0.500)
Cu (0.000, 0.500, 0.000)
Cu (0.000, 0.000, 0.500)
Cu (0.500, 0.000, 0.000)
Cl (0.000, 0.000, 0.000)

Magnetic moment = 0.00 Bohr magnetons per cell
Fermi-level density of states = 1.0149 states/eV per atom

## 2
ScCu3Cl after structural relaxation. Source: the Alexandria database, functional PBE.

Cell lengths 4.995, 4.995, 4.995 Å; angles 90.00, 90.00, 90.00 degrees
Fractional positions:
Sc (0.000, 0.000, 0.000)
Cu (0.000, 0.500, 0.000)
Cu (0.000, 0.000, 0.500)
Cu (0.500, 0.000, 0.000)
Cl (0.500, 0.500, 0.500)

Magnetic moment = 0.00 Bohr magnetons per cell
Fermi-level density of states = 4.1453 states/eV per atom

Most stable: 1 (next structure +0.405 eV/atom)

## 1
ScCuCl4 after structural relaxation. Source: the Alexandria database, functional PBE.

Cell lengths 5.730, 5.730, 5.730 Å; angles 60.00, 60.00, 60.00 degrees
Each line ends with the local moment (μB).
Fractional positions:
Sc (0.000, 0.000, 0.000)  0.13
Cu (0.750, 0.750, 0.750)  0.01
Cl (0.874, 0.375, 0.375)  0.29
Cl (0.375, 0.375, 0.874)  0.29
Cl (0.375, 0.874, 0.375)  0.29
Cl (0.375, 0.375, 0.375)  0.29

Magnetic moment = 1.63 Bohr magnetons per cell
Fermi-level density of states = 1.1164 states/eV per atom

## 2
ScCuCl4 after structural relaxation. Source: the Alexandria database, functional PBE.

Cell lengths 6.388, 6.640, 9.096 Å; angles 104.48, 103.32, 109.46 degrees
Each line ends with the local moment (μB).
Fractional positions:
Sc (0.811, 0.061, 0.122)  0.00
Sc (0.189, 0.939, 0.878)  0.00
Cu (0.407, 0.653, 0.311)  0.16
Cu (0.593, 0.347, 0.689)  0.16
Cl (0.293, 0.052, 0.655)  0.01
Cl (0.041, 0.820, 0.092)  0.00
Cl (0.140, 0.397, 0.346)  0.01
Cl (0.448, 0.727, 0.906)  0.00
Cl (0.707, 0.948, 0.345)  0.01
Cl (0.860, 0.603, 0.654)  0.01
Cl (0.959, 0.180, 0.908)  0.00
Cl (0.552, 0.273, 0.094)  0.00

Magnetic moment = 0.40 Bohr magnetons per cell
Fermi-level density of states = 0.0000 states/eV per atom

Most stable: 2 (next structure +1.827 eV/atom)

## 1
Cu3SeCl after structural relaxation. Source: the Alexandria database, functional PBE.

Cell lengths 4.623, 4.623, 4.623 Å; angles 90.00, 90.00, 90.00 degrees
Fractional positions:
Cu (0.000, 0.500, 0.000)
Cu (0.000, 0.000, 0.500)
Cu (0.500, 0.000, 0.000)
Se (0.000, 0.000, 0.000)
Cl (0.500, 0.500, 0.500)

Magnetic moment = 0.00 Bohr magnetons per cell
Fermi-level density of states = 0.0000 states/eV per atom

## 2
Cu3SeCl after structural relaxation. Source: the Alexandria database, functional PBE.

Cell lengths 4.478, 4.478, 4.478 Å; angles 90.00, 90.00, 90.00 degrees
Fractional positions:
Cu (0.000, 0.500, 0.000)
Cu (0.000, 0.000, 0.500)
Cu (0.500, 0.000, 0.000)
Se (0.500, 0.500, 0.500)
Cl (0.000, 0.000, 0.000)

Magnetic moment = 0.00 Bohr magnetons per cell
Fermi-level density of states = 0.0200 states/eV per atom

Most stable: 1 (next structure +0.377 eV/atom)

## 1
CuSe2Cl2 after structural relaxation. Source: the Alexandria database, functional PBE.

Cell lengths 7.103, 6.674, 3.469 Å; angles 121.34, 75.88, 122.43 degrees
Each line ends with the local moment (μB).
Fractional positions:
Cu (0.000, 0.000, 0.000)  0.16
Se (0.623, 0.144, 0.332)  0.00
Se (0.377, 0.856, 0.668)  0.00
Cl (0.160, 0.318, 0.739)  0.05
Cl (0.840, 0.682, 0.261)  0.05

Magnetic moment = 0.28 Bohr magnetons per cell
Fermi-level density of states = 0.7584 states/eV per atom

## 2
CuSe2Cl2 after structural relaxation. Source: the Alexandria database, functional PBE.

Cell lengths 6.558, 6.558, 5.096 Å; angles 90.00, 90.00, 90.00 degrees
Fractional positions:
Cu (0.000, 0.000, 0.000)
Cu (0.500, 0.500, 0.000)
Se (0.349, 0.849, 0.000)
Se (0.849, 0.651, 0.000)
Se (0.651, 0.151, 0.000)
Se (0.151, 0.349, 0.000)
Cl (0.328, 0.828, 0.500)
Cl (0.828, 0.672, 0.500)
Cl (0.672, 0.172, 0.500)
Cl (0.172, 0.328, 0.500)

Magnetic moment = 0.00 Bohr magnetons per cell
Fermi-level density of states = 0.4109 states/eV per atom

Most stable: 1 (next structure +0.216 eV/atom)

## 1
Cu2Se2Cl after structural relaxation. Source: the Alexandria database, functional PBE.

Cell lengths 5.434, 5.434, 5.434 Å; angles 128.64, 128.64, 75.60 degrees
Fractional positions:
Cu (0.250, 0.750, 0.500)
Cu (0.750, 0.250, 0.500)
Se (0.644, 0.644, 0.000)
Se (0.356, 0.356, 0.000)
Cl (0.000, 0.000, 0.000)

Magnetic moment = 0.00 Bohr magnetons per cell
Fermi-level density of states = 0.7377 states/eV per atom

## 2
Cu2Se2Cl after structural relaxation. Source: the Alexandria database, functional PBE.

Cell lengths 5.605, 7.145, 7.327 Å; angles 79.53, 70.45, 51.68 degrees
Fractional positions:
Cu (0.657, 0.676, 0.028)
Cu (0.806, 0.407, 0.471)
Cu (0.343, 0.324, 0.972)
Cu (0.194, 0.593, 0.529)
Se (0.616, 0.390, 0.218)
Se (0.813, 0.887, 0.809)
Se (0.187, 0.113, 0.191)
Se (0.384, 0.610, 0.782)
Cl (0.876, 0.734, 0.335)
Cl (0.124, 0.266, 0.665)

Magnetic moment = 0.00 Bohr magnetons per cell
Fermi-level density of states = 0.2299 states/eV per atom

Most stable: 2 (next structure +0.152 eV/atom)

## 1
CuSi2Cl after structural relaxation. Source: the Alexandria database, functional PBE.

Cell lengths 4.481, 4.481, 4.481 Å; angles 60.00, 60.00, 60.00 degrees
Fractional positions:
Cl (0.500, 0.500, 0.500)
Cu (0.750, 0.750, 0.750)
Si (0.000, 0.000, 0.000)
Si (0.250, 0.250, 0.250)

Magnetic moment = 0.00 Bohr magnetons per cell
Fermi-level density of states = 0.4209 states/eV per atom

## 2
CuSi2Cl after structural relaxation. Source: the Alexandria database, functional PBE.

Cell lengths 5.987, 5.987, 5.987 Å; angles 152.76, 137.63, 51.11 degrees
Fractional positions:
Cl (0.750, 0.250, 0.500)
Cu (0.250, 0.750, 0.500)
Si (0.048, 0.048, 0.000)
Si (0.452, 0.452, 0.000)

Magnetic moment = 0.00 Bohr magnetons per cell
Fermi-level density of states = 0.4024 states/eV per atom

Most stable: 2 (next structure +0.193 eV/atom)

## 1
CuSi2Cl after structural relaxation. Source: the Alexandria database, functional PBE.

Cell lengths 3.328, 3.328, 6.777 Å; angles 90.00, 90.00, 92.80 degrees
Fractional positions:
Cl (0.000, 0.000, 0.595)
Cu (0.500, 0.500, 0.776)
Si (0.000, 0.000, 0.004)
Si (0.500, 0.500, 0.126)

Magnetic moment = 0.00 Bohr magnetons per cell
Fermi-level density of states = 0.3409 states/eV per atom

## 2
CuSi2Cl after structural relaxation. Source: the Alexandria database, functional PBE.

Cell lengths 6.648, 6.648, 6.648 Å; angles 32.89, 32.89, 32.89 degrees
Fractional positions:
Cl (0.478, 0.478, 0.478)
Cu (0.741, 0.741, 0.741)
Si (0.994, 0.994, 0.994)
Si (0.287, 0.287, 0.287)

Magnetic moment = 0.00 Bohr magnetons per cell
Fermi-level density of states = 0.2848 states/eV per atom

## 3
CuSi2Cl after structural relaxation. Source: the Alexandria database, functional PBE.

Cell lengths 7.792, 7.792, 7.792 Å; angles 154.75, 154.75, 36.02 degrees
Fractional positions:
Cl (0.250, 0.750, 0.500)
Cu (0.750, 0.250, 0.500)
Si (0.000, 0.000, 0.000)
Si (0.500, 0.500, 0.000)

Magnetic moment = 0.00 Bohr magnetons per cell
Fermi-level density of states = 0.2771 states/eV per atom

## 4
CuSi2Cl after structural relaxation. Source: the Alexandria database, functional PBE.

Cell lengths 6.060, 6.060, 6.060 Å; angles 37.94, 37.94, 37.94 degrees
Fractional positions:
Cl (0.250, 0.250, 0.250)
Cu (0.750, 0.750, 0.750)
Si (0.042, 0.042, 0.042)
Si (0.458, 0.458, 0.458)

Magnetic moment = 0.00 Bohr magnetons per cell
Fermi-level density of states = 0.2744 states/eV per atom

Most stable: 2 (next structure +0.105 eV/atom)